[1]
TlCl5 after structural relaxation. Source: Alexandria, functional PBE.

Values from the calculation:
E above lowest polymorph = 0.1174 eV per atom
formation energy without anion corrections = -0.2697 eV per atom

abc: 5.3015 5.3015 11.2765
angles: 103.23 103.23 50.19
Positions (direct):
Tl1 0.0000 0.0000 0.0000
Cl1 0.2958 0.2958 0.9365
Cl2 0.3437 0.3437 0.5910
Cl3 0.5420 0.5420 0.7024
Cl4 0.6940 0.6940 0.2955
Cl5 0.9056 0.9056 0.3073


[2]
Ce2Bi after structural relaxation. Source: Alexandria, functional PBE.

Values from the calculation:
ΔE_f = -0.51 eV/atom

abc: 7.6112 7.6112 5.5723
angles: 90.00 90.00 149.13
Positions (direct):
Ce1 0.0917 0.9083 0.7500
Ce2 0.2766 0.7234 0.2500
Ce3 0.7234 0.2766 0.7500
Ce4 0.9083 0.0917 0.2500
Bi1 0.4040 0.5960 0.7500
Bi2 0.5960 0.4040 0.2500


[3]
Te2PtW after structural relaxation. Source: Alexandria, functional PBE.

Values from the calculation:
E above lowest polymorph = 0.4118 eV per atom
formation energy without anion corrections = 0.4624 eV per atom

abc: 6.9005 6.9005 6.9005
angles: 152.47 144.73 45.31
Positions (direct):
Te1 0.0000 0.0000 0.0000
Te2 0.7345 0.2345 0.5000
Pt1 0.3767 0.3767 0.0000
W1 0.1729 0.6729 0.5000


[4]
SbMoCl2 after structural relaxation. Source: Alexandria, functional PBE.

Values from the calculation:
E above lowest polymorph = 0.8948 eV per atom
formation energy without anion corrections = 0.5910 eV per atom

abc: 5.5194 5.5194 5.5194
angles: 133.34 133.34 68.12
Positions (direct):
Sb1 0.0000 0.0000 0.0000
Mo1 0.5000 0.5000 0.0000
Cl1 0.2500 0.7500 0.5000
Cl2 0.7500 0.2500 0.5000


[5]
TaAlMo2 after structural relaxation. Source: Alexandria, functional PBE.

Values from the calculation:
ΔE_f = -0.11 eV/atom

abc: 2.7731 4.5250 5.2864
angles: 90.00 100.86 90.00
Positions (direct):
Ta1 0.0000 0.0000 0.0000
Al1 0.6821 0.5000 0.2501
Mo1 0.2605 0.5000 0.7377
Mo2 0.4821 0.0000 0.5083


[6]
CuNi6Sb after structural relaxation. Source: Alexandria, functional PBE.

Values from the calculation:
E above lowest polymorph = 0.0000 eV per atom
formation energy without anion corrections = -0.0462 eV per atom

abc: 5.1676 5.1676 4.1661
angles: 90.00 90.00 120.00
Positions (direct):
Cu1 0.0000 0.0000 0.0000
Ni1 0.3324 0.1662 0.5000
Ni2 0.5075 0.0149 0.0000
Ni3 0.5075 0.4925 0.0000
Ni4 0.8338 0.1662 0.5000
Ni5 0.8338 0.6676 0.5000
Ni6 0.9851 0.4925 0.0000
Sb1 0.3333 0.6667 0.5000


[7]
FeTc2Ir after structural relaxation. Source: Alexandria, functional PBE.

Values from the calculation:
E above lowest polymorph = 0.0142 eV per atom
ΔE_f = -0.04 eV/atom

abc: 4.6926 4.6926 4.6926
angles: 132.82 132.82 68.93
Positions (direct):
Fe1 0.0000 0.0000 0.0000
Tc1 0.2500 0.7500 0.5000
Tc2 0.7500 0.2500 0.5000
Ir1 0.5000 0.5000 0.0000


[8]
NaLaTeF2 after structural relaxation. Source: Alexandria, functional PBE.

Values from the calculation:
E above lowest polymorph = 1.9590 eV per atom
formation energy without anion corrections = -0.7371 eV per atom

abc: 4.9353 4.9353 5.4599
angles: 90.00 90.00 90.00
Positions (direct):
Na1 0.0000 0.0000 0.0000
La1 0.5000 0.5000 0.0000
Te1 0.0000 0.0000 0.5000
F1 0.0000 0.5000 0.5000
F2 0.5000 0.0000 0.5000


Repeat the third record exactly.
Te2PtW after structural relaxation. Source: Alexandria, functional PBE.

Values from the calculation:
E above lowest polymorph = 0.4118 eV per atom
formation energy without anion corrections = 0.4624 eV per atom

abc: 6.9005 6.9005 6.9005
angles: 152.47 144.73 45.31
Positions (direct):
Te1 0.0000 0.0000 0.0000
Te2 0.7345 0.2345 0.5000
Pt1 0.3767 0.3767 0.0000
W1 0.1729 0.6729 0.5000